[1]
First-principles (PBE) data for a relaxed structure of IrPbO3, as listed in the Open Quantum Materials Database.

Summary:
Magnetization: 0.13 μB/f.u.
Total energy: -62.23 eV for the cell shown
Space group: R-3c, No. 167

Lattice parameters (Å, degrees): 5.527 5.527 5.527 62.01 62.01 62.01
Positions (direct):
Ir  0.000  0.000  0.000
Ir  0.500  0.500  0.500
Pb  0.250  0.250  0.250
Pb  0.750  0.750  0.750
O  0.171  0.750  0.329
O  0.250  0.671  0.829
O  0.329  0.171  0.750
O  0.671  0.829  0.250
O  0.750  0.329  0.171
O  0.829  0.250  0.671

[2]
First-principles (PBE) data for a relaxed structure of Rb2IrPbO6, as listed in the Open Quantum Materials Database.

Summary:
Magnetization: 2.15 μB/f.u.
Total energy: -53.20 eV for the cell shown
Space group: Fm-3m, No. 225

Lattice parameters (Å, degrees): 5.923 5.923 5.923 60.00 60.00 60.00
Positions (direct):
Rb  0.250  0.250  0.250
Rb  0.750  0.750  0.750
Ir  0.000  0.000  0.000
Pb  0.500  0.500  0.500
O  0.230  0.230  0.770
O  0.230  0.770  0.230
O  0.230  0.770  0.770
O  0.770  0.230  0.230
O  0.770  0.230  0.770
O  0.770  0.770  0.230

[3]
First-principles (PBE) data for a relaxed structure of SbIrPb2O6, as listed in the Open Quantum Materials Database.

Summary:
Magnetization: 0.00 μB/f.u.
Total energy: -119.69 eV for the cell shown
Energy above the most stable polymorph in this dataset: 0 meV/atom
Space group: C2/c, No. 15

Lattice parameters (Å, degrees): 5.684 5.684 9.929 105.13 105.13 59.25
Positions (direct):
Sb  0.000  0.500  0.000
Sb  0.500  0.000  0.500
Ir  0.242  0.758  0.750
Ir  0.758  0.242  0.250
Pb  0.127  0.618  0.372
Pb  0.382  0.873  0.128
Pb  0.618  0.127  0.872
Pb  0.873  0.382  0.628
O  0.125  0.166  0.845
O  0.129  0.695  0.914
O  0.166  0.125  0.345
O  0.305  0.871  0.586
O  0.308  0.373  0.628
O  0.373  0.308  0.128
O  0.627  0.692  0.872
O  0.692  0.627  0.372
O  0.695  0.129  0.414
O  0.834  0.875  0.655
O  0.871  0.305  0.086
O  0.875  0.834  0.155

[4]
First-principles (PBE) data for a relaxed structure of SbIrPb2O6, as listed in the Open Quantum Materials Database.

Summary:
Magnetization: 0.00 μB/f.u.
Total energy: -59.69 eV for the cell shown
Energy above the most stable polymorph in this dataset: 16 meV/atom
Space group: P-1, No. 2

Lattice parameters (Å, degrees): 5.080 5.114 5.635 100.55 97.89 104.25
Positions (direct):
Sb  0.000  0.000  0.000
Ir  0.500  0.500  0.000
Pb  0.268  0.750  0.524
Pb  0.732  0.250  0.476
O  0.190  0.189  0.758
O  0.235  0.733  0.931
O  0.309  0.299  0.245
O  0.691  0.701  0.755
O  0.765  0.267  0.069
O  0.810  0.811  0.242

[5]
First-principles (PBE) data for a relaxed structure of SnIrPb2O6, as listed in the Open Quantum Materials Database.

Summary:
Magnetization: 0.12 μB/f.u.
Total energy: -59.73 eV for the cell shown
Energy above the most stable polymorph in this dataset: 53 meV/atom
Space group: I4/mmm, No. 139

Lattice parameters (Å, degrees): 5.704 5.704 5.704 120.12 120.12 89.80
Positions (direct):
Sn  0.000  0.000  0.000
Ir  0.500  0.500  0.000
Pb  0.250  0.750  0.500
Pb  0.750  0.250  0.500
O  0.252  0.252  0.000
O  0.252  0.252  0.505
O  0.252  0.748  0.000
O  0.748  0.252  0.000
O  0.748  0.748  0.000
O  0.748  0.748  0.495

[6]
First-principles (PBE) data for a relaxed structure of SnIrPb2O6, as listed in the Open Quantum Materials Database.

Summary:
Magnetization: 0.99 μB/f.u.
Total energy: -60.26 eV for the cell shown
Energy above the most stable polymorph in this dataset: 0 meV/atom
Space group: R-3, No. 148

Lattice parameters (Å, degrees): 5.646 5.646 5.646 61.35 61.35 61.35
Positions (direct):
Sn  0.000  0.000  0.000
Ir  0.500  0.500  0.500
Pb  0.252  0.252  0.252
Pb  0.748  0.748  0.748
O  0.183  0.325  0.743
O  0.257  0.817  0.675
O  0.325  0.743  0.183
O  0.675  0.257  0.817
O  0.743  0.183  0.325
O  0.817  0.675  0.257

[7]
First-principles (PBE) data for a relaxed structure of TaIrPb2O6, as listed in the Open Quantum Materials Database.

Summary:
Magnetization: 0.00 μB/f.u.
Total energy: -72.06 eV for the cell shown
Space group: P-1, No. 2

Lattice parameters (Å, degrees): 4.910 5.011 5.616 97.03 95.23 105.17
Positions (direct):
Ta  0.000  0.000  0.000
Ir  0.500  0.500  0.000
Pb  0.267  0.734  0.500
Pb  0.733  0.266  0.500
O  0.208  0.201  0.742
O  0.243  0.752  0.994
O  0.292  0.288  0.258
O  0.708  0.712  0.742
O  0.757  0.248  0.006
O  0.792  0.799  0.258

[8]
First-principles (PBE) data for a relaxed structure of ZnIrPb2O6, as listed in the Open Quantum Materials Database.

Summary:
Magnetization: 0.07 μB/f.u.
Total energy: -56.94 eV for the cell shown
Space group: C2/m, No. 12

Lattice parameters (Å, degrees): 5.609 5.609 5.677 120.36 120.36 59.81
Positions (direct):
Zn  0.000  0.000  0.000
Ir  0.500  0.500  0.500
Pb  0.251  0.251  0.735
Pb  0.749  0.749  0.265
O  0.201  0.688  0.684
O  0.261  0.261  0.168
O  0.312  0.799  0.316
O  0.688  0.201  0.684
O  0.739  0.739  0.832
O  0.799  0.312  0.316

[9]
First-principles (PBE) data for a relaxed structure of Ir2Pd2O5, as listed in the Open Quantum Materials Database.

Summary:
Magnetization: 0.73 μB/f.u.
Total energy: -51.54 eV for the cell shown
Energy above the most stable polymorph in this dataset: 0 meV/atom
Space group: P4/mmm, No. 123

Lattice parameters (Å, degrees): 3.781 3.781 8.135 90.00 90.00 90.00
Positions (direct):
Ir  0.000  0.000  0.234
Ir  0.000  0.000  0.766
Pd  0.500  0.500  0.000
Pd  0.500  0.500  0.500
O  0.000  0.000  0.500
O  0.000  0.500  0.214
O  0.000  0.500  0.786
O  0.500  0.000  0.214
O  0.500  0.000  0.786

[10]
First-principles (PBE) data for a relaxed structure of IrPdO3, as listed in the Open Quantum Materials Database.

Summary:
Magnetization: 0.59 μB/f.u.
Total energy: -59.88 eV for the cell shown
Space group: R-3c, No. 167

Lattice parameters (Å, degrees): 5.560 5.560 5.560 56.92 56.92 56.92
Positions (direct):
Ir  0.000  0.000  0.000
Ir  0.500  0.500  0.500
Pd  0.250  0.250  0.250
Pd  0.750  0.750  0.750
O  0.134  0.750  0.366
O  0.250  0.634  0.866
O  0.366  0.134  0.750
O  0.634  0.866  0.250
O  0.750  0.366  0.134
O  0.866  0.250  0.634

[11]
First-principles (PBE) data for a relaxed structure of Ir2Pd2O5, as listed in the Open Quantum Materials Database.

Summary:
Magnetization: 4.77 μB/f.u.
Total energy: -50.66 eV for the cell shown
Energy above the most stable polymorph in this dataset: 97 meV/atom
Space group: P4/mmm, No. 123

Lattice parameters (Å, degrees): 3.327 3.327 9.597 90.00 90.00 90.00
Positions (direct):
Ir  0.000  0.000  0.000
Ir  0.000  0.000  0.500
Pd  0.500  0.500  0.219
Pd  0.500  0.500  0.781
O  0.000  0.500  0.376
O  0.000  0.500  0.624
O  0.500  0.000  0.376
O  0.500  0.000  0.624
O  0.500  0.500  0.000

[12]
First-principles (PBE) data for a relaxed structure of Rb2IrPdO4, as listed in the Open Quantum Materials Database.

Summary:
Magnetization: 3.00 μB/f.u.
Total energy: -43.28 eV for the cell shown
Space group: Amm2, No. 38

Lattice parameters (Å, degrees): 5.903 6.458 6.458 42.85 90.00 90.00
Positions (direct):
Rb  0.000  0.000  0.000
Rb  0.500  0.388  0.388
Ir  0.500  0.690  0.690
Pd  0.000  0.697  0.697
O  0.255  0.583  0.583
O  0.266  0.804  0.804
O  0.734  0.804  0.804
O  0.745  0.583  0.583

[13]
First-principles (PBE) data for a relaxed structure of ZnIr2PdO6, as listed in the Open Quantum Materials Database.

Summary:
Magnetization: 0.01 μB/f.u.
Total energy: -61.29 eV for the cell shown
Space group: Cmmm, No. 65

Lattice parameters (Å, degrees): 6.138 6.138 3.168 90.00 90.00 109.20
Positions (direct):
Zn  0.000  0.000  0.000
Ir  0.000  0.500  0.500
Ir  0.500  0.000  0.500
Pd  0.500  0.500  0.000
O  0.156  0.844  0.500
O  0.160  0.422  0.000
O  0.422  0.160  0.000
O  0.578  0.840  0.000
O  0.840  0.578  0.000
O  0.844  0.156  0.500

[14]
First-principles (PBE) data for a relaxed structure of Pm2Ir2O5, as listed in the Open Quantum Materials Database.

Summary:
Magnetization: 0.58 μB/f.u.
Total energy: -63.46 eV for the cell shown
Space group: P4/mmm, No. 123

Lattice parameters (Å, degrees): 3.626 3.626 9.569 90.00 90.00 90.00
Positions (direct):
Pm  0.000  0.000  0.234
Pm  0.000  0.000  0.766
Ir  0.500  0.500  0.000
Ir  0.500  0.500  0.500
O  0.000  0.000  0.000
O  0.000  0.500  0.378
O  0.000  0.500  0.622
O  0.500  0.000  0.378
O  0.500  0.000  0.622

[15]
First-principles (PBE) data for a relaxed structure of PrIrO3, as listed in the Open Quantum Materials Database.

Summary:
Magnetization: 0.00 μB/f.u.
Total energy: -74.38 eV for the cell shown
Space group: R-3, No. 148

Lattice parameters (Å, degrees): 5.817 5.817 5.817 59.33 59.33 59.33
Positions (direct):
Pr  0.132  0.132  0.132
Pr  0.868  0.868  0.868
Ir  0.339  0.339  0.339
Ir  0.661  0.661  0.661
O  0.058  0.712  0.444
O  0.288  0.556  0.942
O  0.444  0.058  0.712
O  0.556  0.942  0.288
O  0.712  0.444  0.058
O  0.942  0.288  0.556

[16]
First-principles (PBE) data for a relaxed structure of Pr2IrO6, as listed in the Open Quantum Materials Database.

Summary:
Magnetization: 2.96 μB/f.u.
Total energy: -135.23 eV for the cell shown
Space group: P2_1/c, No. 14

Lattice parameters (Å, degrees): 5.383 6.235 8.869 90.00 122.07 90.00
Positions (direct):
Pr  0.215  0.094  0.255
Pr  0.215  0.406  0.755
Pr  0.785  0.594  0.245
Pr  0.785  0.906  0.745
Ir  0.500  0.000  0.000
Ir  0.500  0.500  0.500
O  0.148  0.155  0.953
O  0.148  0.345  0.453
O  0.295  0.724  0.938
O  0.295  0.776  0.438
O  0.377  0.045  0.754
O  0.377  0.455  0.254
O  0.623  0.545  0.746
O  0.623  0.955  0.246
O  0.705  0.224  0.562
O  0.705  0.276  0.062
O  0.852  0.655  0.547
O  0.852  0.845  0.047

[17]
First-principles (PBE) data for a relaxed structure of PrIrO3, as listed in the Open Quantum Materials Database.

Summary:
Magnetization: 0.00 μB/f.u.
Total energy: -75.83 eV for the cell shown
Space group: R-3c, No. 167

Lattice parameters (Å, degrees): 5.353 5.353 5.353 66.31 66.31 66.31
Positions (direct):
Pr  0.250  0.250  0.250
Pr  0.750  0.750  0.750
Ir  0.000  0.000  0.000
Ir  0.500  0.500  0.500
O  0.147  0.750  0.353
O  0.250  0.647  0.853
O  0.353  0.147  0.750
O  0.647  0.853  0.250
O  0.750  0.353  0.147
O  0.853  0.250  0.647

[18]
First-principles (PBE) data for a relaxed structure of Pr2Ir2O5, as listed in the Open Quantum Materials Database.

Summary:
Magnetization: 0.58 μB/f.u.
Total energy: -62.81 eV for the cell shown
Energy above the most stable polymorph in this dataset: 546 meV/atom
Space group: P4/mmm, No. 123

Lattice parameters (Å, degrees): 3.643 3.643 9.747 90.00 90.00 90.00
Positions (direct):
Pr  0.000  0.000  0.234
Pr  0.000  0.000  0.766
Ir  0.500  0.500  0.000
Ir  0.500  0.500  0.500
O  0.000  0.000  0.000
O  0.000  0.500  0.381
O  0.000  0.500  0.619
O  0.500  0.000  0.381
O  0.500  0.000  0.619

[19]
First-principles (PBE) data for a relaxed structure of Pr2Ir2O5, as listed in the Open Quantum Materials Database.

Summary:
Magnetization: 0.00 μB/f.u.
Total energy: -67.72 eV for the cell shown
Energy above the most stable polymorph in this dataset: 0 meV/atom
Space group: P4/mmm, No. 123

Lattice parameters (Å, degrees): 3.976 3.976 7.166 90.00 90.00 90.00
Positions (direct):
Pr  0.000  0.000  0.000
Pr  0.000  0.000  0.500
Ir  0.500  0.500  0.191
Ir  0.500  0.500  0.809
O  0.000  0.500  0.247
O  0.000  0.500  0.753
O  0.500  0.000  0.247
O  0.500  0.000  0.753
O  0.500  0.500  0.500

[20]
First-principles (PBE) data for a relaxed structure of Pr2Ir2O7, as listed in the Open Quantum Materials Database.

Summary:
Magnetization: 0.05 μB/f.u.
Total energy: -166.84 eV for the cell shown
Space group: Fd-3m, No. 227

Lattice parameters (Å, degrees): 7.372 7.372 7.372 60.00 60.00 60.00
Positions (direct):
Pr  0.000  0.000  0.000
Pr  0.000  0.000  0.500
Pr  0.000  0.500  0.000
Pr  0.500  0.000  0.000
Ir  0.000  0.500  0.500
Ir  0.500  0.000  0.500
Ir  0.500  0.500  0.000
Ir  0.500  0.500  0.500
O  0.125  0.125  0.125
O  0.168  0.168  0.582
O  0.168  0.582  0.168
O  0.168  0.582  0.582
O  0.418  0.418  0.832
O  0.418  0.832  0.418
O  0.418  0.832  0.832
O  0.582  0.168  0.168
O  0.582  0.168  0.582
O  0.582  0.582  0.168
O  0.832  0.418  0.418
O  0.832  0.418  0.832
O  0.832  0.832  0.418
O  0.875  0.875  0.875

[21]
First-principles (PBE) data for a relaxed structure of PrIrO3, as listed in the Open Quantum Materials Database.

Summary:
Magnetization: 0.00 μB/f.u.
Total energy: -152.41 eV for the cell shown
Space group: Pnma, No. 62

Lattice parameters (Å, degrees): 5.928 7.846 5.402 90.00 90.00 90.00
Positions (direct):
Pr  0.080  0.250  0.029
Pr  0.420  0.750  0.529
Pr  0.580  0.250  0.471
Pr  0.920  0.750  0.971
Ir  0.000  0.000  0.500
Ir  0.000  0.500  0.500
Ir  0.500  0.000  0.000
Ir  0.500  0.500  0.000
O  0.037  0.750  0.382
O  0.194  0.553  0.821
O  0.194  0.947  0.821
O  0.306  0.053  0.321
O  0.306  0.447  0.321
O  0.463  0.250  0.882
O  0.537  0.750  0.118
O  0.694  0.553  0.679
O  0.694  0.947  0.679
O  0.806  0.053  0.179
O  0.806  0.447  0.179
O  0.963  0.250  0.618